# 1
DFT (GGA-PBE) results for an optimized crystal structure of Ce6Sn2Bi.

Computed properties:
Crystal system: hexagonal
E_form: -0.31 eV per atom
Total magnetization: 4.11 μB per formula unit
Symmetry: P6/mmm, No. 191

a = 3.2619 Å, b = 9.1232 Å, c = 9.1232 Å
α = 120.00°, β = 90.00°, γ = 90.00°
Last column: nearest neighbours and their distance in Å.
Fractional coordinates of all 9 atoms:
1 Bi 0.0000 0.0000 0.0000  2 Bi 3.26, 12 Ce 3.55
2 Ce 0.5000 0.6540 0.0000  1 Ce 2.81
3 Ce 0.5000 0.6540 0.6540  1 Ce 2.81
4 Ce 0.5000 0.0000 0.6540  1 Ce 2.81
5 Ce 0.5000 0.3460 0.0000  1 Ce 2.81
6 Ce 0.5000 0.3460 0.3460  1 Ce 2.81
7 Ce 0.5000 0.0000 0.3460  1 Ce 2.81
8 Sn 0.0000 0.6667 0.3333  2 Sn 3.26, 12 Ce 3.40
9 Sn 0.0000 0.3333 0.6667  2 Sn 3.26, 12 Ce 3.40


# 2
DFT (GGA-PBE) results for an optimized crystal structure of CuHAu2.

Computed properties:
Crystal system: trigonal
Total energy: -12.43 eV per formula unit
Total magnetization: 0.00 μB per formula unit
Symmetry: R-3m, No. 166

a = 2.8485 Å, b = 2.8485 Å, c = 8.1658 Å
α = 79.96°, β = 79.96°, γ = 60.00°
Last column: nearest neighbours and their distance in Å.
Fractional coordinates of all 4 atoms:
1 H 0.5000 0.5000 0.5000  6 Au 2.20
2 Cu 0.0000 0.0000 0.0000  2 Au 2.54
3 Au 0.1058 0.1058 0.6825  3 H 2.20
4 Au 0.8942 0.8942 0.3175  3 H 2.20


Fermi-level density of states across the listed records, respectively: 23.46, 1.53 states/eV per cell.